No. 1
Computed, not measured: Gd3I after structural relaxation at the PBE-GGA level of DFT.

Values from the calculation:
Formation energy without anion corrections in eV per formula unit: -0.39
Raw total energy in eV/atom: -11.045
Space group: Pm-3m (221)

a b c (Å): 4.9536 4.9536 4.9536
angles (deg): 90.00 90.00 90.00
With the nearest neighbours (Å) after each atom.
Sites, in units of the cell vectors:
Gd (0.0000, 0.5000, 0.5000)  8 Gd 3.50, 4 I 3.50
Gd (0.5000, 0.0000, 0.5000)  8 Gd 3.50, 4 I 3.50
Gd (0.5000, 0.5000, 0.0000)  8 Gd 3.50, 4 I 3.50
I (0.0000, 0.0000, 0.0000)  12 Gd 3.50

***

No. 2
Computed, not measured: GdI3 after structural relaxation at the PBE-GGA level of DFT.

Values from the calculation:
Formation energy without anion corrections in eV per formula unit: -5.50
Raw total energy in eV/atom: -6.058
Space group: Imm2 (44)

a b c (Å): 4.0387 7.8732 7.7354
angles (deg): 120.59 105.13 90.00
With the nearest neighbours (Å) after each atom.
Sites, in units of the cell vectors:
I (0.3407, 0.7338, 0.6814)  2 Gd 3.09
I (0.5000, 0.3384, 0.0000)  2 Gd 3.09
I (0.6593, 0.0524, 0.3186)  2 Gd 3.09
Gd (0.0000, 0.0420, 0.0000)  6 I 3.09

***

No. 3
Computed, not measured: Gd2InI after structural relaxation at the PBE-GGA level of DFT.

Values from the calculation:
Formation energy without anion corrections in eV per formula unit: -2.44
Raw total energy in eV/atom: -8.723
Space group: P4/mmm (123)
Polymorph energy (0 for the lowest one) in meV/atom: 0.0

a b c (Å): 3.6675 3.6675 8.5187
angles (deg): 90.00 90.00 90.00
With the nearest neighbours (Å) after each atom.
Sites, in units of the cell vectors:
I (0.5000, 0.5000, 0.5000)  8 Gd 3.42, 4 I 3.67
Gd (0.0000, 0.0000, 0.7624)  4 In 3.29, 4 I 3.42, 4 Gd 3.67
Gd (0.0000, 0.0000, 0.2376)  4 In 3.29, 4 I 3.42, 4 Gd 3.67
In (0.5000, 0.5000, 0.0000)  8 Gd 3.29, 4 In 3.67

***

No. 4
Computed, not measured: Gd2InI after structural relaxation at the PBE-GGA level of DFT.

Values from the calculation:
Formation energy without anion corrections in eV per formula unit: -2.25
Raw total energy in eV/atom: -8.674
Space group: R-3m (166)
Polymorph energy (0 for the lowest one) in meV/atom: 48.8

a b c (Å): 4.4804 4.4804 7.7920
angles (deg): 73.29 73.29 60.00
With the nearest neighbours (Å) after each atom.
Sites, in units of the cell vectors:
I (0.5000, 0.5000, 0.5000)  6 Gd 3.29
Gd (0.2587, 0.2587, 0.2240)  3 In 3.07, 3 I 3.29
Gd (0.7413, 0.7413, 0.7760)  3 In 3.07, 3 I 3.29
In (0.0000, 0.0000, 0.0000)  6 Gd 3.07

***

No. 5
Computed, not measured: Gd2IrI after structural relaxation at the PBE-GGA level of DFT.

Values from the calculation:
Formation energy without anion corrections in eV per formula unit: -3.97
Raw total energy in eV/atom: -10.635
Space group: R-3m (166)
Polymorph energy (0 for the lowest one) in meV/atom: 0.0

a b c (Å): 4.1371 4.1371 8.2957
angles (deg): 75.56 75.56 60.00
With the nearest neighbours (Å) after each atom.
Sites, in units of the cell vectors:
Gd (0.7276, 0.7276, 0.8173)  3 Ir 2.79
Gd (0.2724, 0.2724, 0.1827)  3 Ir 2.79
I (0.5000, 0.5000, 0.5000)  6 Gd 3.47
Ir (0.0000, 0.0000, 0.0000)  6 Gd 2.79

***

No. 6
Computed, not measured: Gd2IrI after structural relaxation at the PBE-GGA level of DFT.

Values from the calculation:
Formation energy without anion corrections in eV per formula unit: -3.03
Raw total energy in eV/atom: -10.401
Space group: P4/mmm (123)
Polymorph energy (0 for the lowest one) in meV/atom: 234.4

a b c (Å): 3.5435 3.5435 8.3385
angles (deg): 90.00 90.00 90.00
With the nearest neighbours (Å) after each atom.
Sites, in units of the cell vectors:
Gd (0.0000, 0.0000, 0.8009)  4 Ir 3.01, 1 Gd 3.32
Gd (0.0000, 0.0000, 0.1991)  4 Ir 3.01, 1 Gd 3.32
I (0.5000, 0.5000, 0.5000)  4 I 3.54, 8 Gd 3.55
Ir (0.5000, 0.5000, 0.0000)  8 Gd 3.01

***

No. 7
Computed, not measured: KGdI3 after structural relaxation at the PBE-GGA level of DFT.

Values from the calculation:
Formation energy without anion corrections in eV per formula unit: -6.10
Raw total energy in eV/atom: -5.186
Space group: Pm-3m (221)

a b c (Å): 6.1668 6.1668 6.1668
angles (deg): 90.00 90.00 90.00
With the nearest neighbours (Å) after each atom.
Sites, in units of the cell vectors:
I (0.0000, 0.5000, 0.0000)  2 Gd 3.08
I (0.0000, 0.0000, 0.5000)  2 Gd 3.08
I (0.5000, 0.0000, 0.0000)  2 Gd 3.08
K (0.5000, 0.5000, 0.5000)  12 I 4.36
Gd (0.0000, 0.0000, 0.0000)  6 I 3.08

***

No. 8
Computed, not measured: LaGd2I after structural relaxation at the PBE-GGA level of DFT.

Values from the calculation:
Formation energy without anion corrections in eV per formula unit: -1.56
Raw total energy in eV/atom: -9.049
Space group: R-3m (166)

a b c (Å): 3.8056 3.8056 10.9167
angles (deg): 79.96 79.96 60.00
With the nearest neighbours (Å) after each atom.
Sites, in units of the cell vectors:
I (0.0000, 0.0000, 0.0000)  6 Gd 3.31
Gd (0.7438, 0.7438, 0.7685)  3 I 3.31, 3 La 3.62
Gd (0.2562, 0.2562, 0.2315)  3 I 3.31, 3 La 3.62
La (0.5000, 0.5000, 0.5000)  6 Gd 3.62, 6 La 3.81

***

No. 9
Computed, not measured: La2GdI after structural relaxation at the PBE-GGA level of DFT.

Values from the calculation:
Formation energy without anion corrections in eV per formula unit: -1.53
Raw total energy in eV/atom: -6.754
Space group: P4/mmm (123)

a b c (Å): 3.7650 3.7650 9.8152
angles (deg): 90.00 90.00 90.00
With the nearest neighbours (Å) after each atom.
Sites, in units of the cell vectors:
I (0.5000, 0.5000, 0.5000)  8 La 3.56, 4 I 3.76
Gd (0.5000, 0.5000, 0.0000)  8 La 3.68, 4 Gd 3.76
La (0.0000, 0.0000, 0.7405)  4 I 3.56, 4 Gd 3.68, 4 La 3.76
La (0.0000, 0.0000, 0.2595)  4 I 3.56, 4 Gd 3.68, 4 La 3.76

***

No. 10
Computed, not measured: LaGdPbI after structural relaxation at the PBE-GGA level of DFT.

Values from the calculation:
Formation energy without anion corrections in eV per formula unit: -2.77
Raw total energy in eV/atom: -6.759
Space group: F-43m (216)

a b c (Å): 5.5976 5.5976 5.5976
angles (deg): 60.00 60.00 60.00
With the nearest neighbours (Å) after each atom.
Sites, in units of the cell vectors:
Pb (0.5000, 0.5000, 0.5000)  4 Gd 3.43, 4 La 3.43
I (0.0000, 0.0000, 0.0000)  4 Gd 3.43, 4 La 3.43
Gd (0.2500, 0.2500, 0.2500)  4 Pb 3.43, 4 I 3.43
La (0.7500, 0.7500, 0.7500)  4 Pb 3.43, 4 I 3.43

***

No. 11
Computed, not measured: LaGdSbI after structural relaxation at the PBE-GGA level of DFT.

Values from the calculation:
Formation energy without anion corrections in eV per formula unit: -4.03
Raw total energy in eV/atom: -7.178
Space group: F-43m (216)

a b c (Å): 5.5279 5.5279 5.5279
angles (deg): 60.00 60.00 60.00
With the nearest neighbours (Å) after each atom.
Sites, in units of the cell vectors:
I (0.2500, 0.2500, 0.2500)  4 Gd 3.39, 4 La 3.39
Sb (0.7500, 0.7500, 0.7500)  4 Gd 3.39, 4 La 3.39
Gd (0.5000, 0.5000, 0.5000)  4 Sb 3.39, 4 I 3.39
La (0.0000, 0.0000, 0.0000)  4 Sb 3.39, 4 I 3.39

***

No. 12
Computed, not measured: LaGdTeI after structural relaxation at the PBE-GGA level of DFT.

Values from the calculation:
Formation energy without anion corrections in eV per formula unit: -4.49
Raw total energy in eV/atom: -7.048
Space group: F-43m (216)

a b c (Å): 5.4977 5.4977 5.4977
angles (deg): 60.00 60.00 60.00
With the nearest neighbours (Å) after each atom.
Sites, in units of the cell vectors:
I (0.2500, 0.2500, 0.2500)  4 Gd 3.37, 4 La 3.37
Gd (0.0000, 0.0000, 0.0000)  4 I 3.37, 4 Te 3.37
Te (0.7500, 0.7500, 0.7500)  4 Gd 3.37, 4 La 3.37
La (0.5000, 0.5000, 0.5000)  4 Te 3.37, 4 I 3.37

***

Q: Number 1 is which compound?
A: Gd3I

***

Q: raw total energy of number 3 (Gd2InI)?
A: -8.723 eV/atom

***

Q: Which of these has the lowest formation energy without anion corrections?
A: KGdI3

***

Q: Which of these has the highest raw total energy?
A: KGdI3